Record 1
Compound: PmY2Tl3
Source: the Alexandria database
Functional: PBE-GGA
Structure: relaxed

Unit cell a=3.788 b=3.788 c=11.712 alpha=90.00 beta=90.00 gamma=90.00
Space group P4/mmm (No. 123)
Symmetry-distinct sites (fractional):
Pm1 0.000 0.000 0.000 x1
Y1 0.000 0.000 0.337 x2
Tl1 0.500 0.500 0.174 x2
Tl2 0.500 0.500 0.500 x1

As for the energy: -27.090 eV/cell. For the calculated formation energy, the calculation gives -385.5 meV per atom.

---

Record 2
Compound: Pm7Y2Tl2
Source: the Alexandria database
Functional: PBE-GGA
Structure: relaxed

Unit cell a=3.689 b=20.417 c=9.907 alpha=90.00 beta=90.00 gamma=90.00
Space group Imm2 (No. 44)
Symmetry-distinct sites (fractional):
Pm1 0.000 0.000 0.000 x2
Pm2 0.000 0.130 0.463 x4
Pm3 0.000 0.338 0.661 x4
Pm4 0.000 0.365 0.287 x4
Y1 0.000 0.000 0.653 x2
Y2 0.000 0.500 0.822 x2
Tl1 0.000 0.244 0.947 x4

As for the energy: -102.397 eV/cell. For the calculated formation energy, the calculation gives -25.8 meV per atom.

---

Record 3
Compound: Pm3Y2Tl3
Source: the Alexandria database
Functional: PBE-GGA
Structure: relaxed

Unit cell a=4.446 b=5.069 c=21.158 alpha=90.00 beta=90.00 gamma=90.00
Space group Immm (No. 71)
Symmetry-distinct sites (fractional):
Pm1 0.000 0.000 0.000 x2
Pm2 0.000 0.500 0.119 x4
Y1 0.000 0.000 0.237 x4
Tl1 0.000 0.000 0.500 x2
Tl2 0.000 0.500 0.370 x4

As for the energy: -72.969 eV/cell. For the calculated formation energy, the calculation gives -275.7 meV per atom.

---

Record 4
Compound: Pm3Y3Tl2
Source: the Alexandria database
Functional: PBE-GGA
Structure: relaxed

Unit cell a=4.903 b=4.980 c=9.745 alpha=90.00 beta=90.00 gamma=90.00
Space group Pmmm (No. 47)
Symmetry-distinct sites (fractional):
Pm1 0.000 0.000 0.000 x1
Pm2 0.500 0.000 0.248 x2
Y1 0.000 0.000 0.500 x1
Y2 0.500 0.500 0.000 x1
Y3 0.500 0.500 0.500 x1
Tl1 0.000 0.500 0.254 x2

As for the energy: -39.968 eV/cell. For the calculated formation energy, the calculation gives -198.9 meV per atom. The polymorph energy (0 for the lowest one) is 0 meV/atom.